one | NiAs3C | GGA-PBE | relaxed

Properties
- Fermi-level density of states (states/eV/cell) = 3.16

```
data_NiAs3C
_chemical_formula_sum 'Ni1 As3 C1'
_symmetry_space_group_name_H-M 'P m -3 m'
_symmetry_Int_Tables_number 221
_symmetry_space_group_name_Hall '-P 4 2 3'
_cell_length_a 4.5361
_cell_length_b 4.5361
_cell_length_c 4.5361
_cell_angle_alpha 90.00
_cell_angle_beta 90.00
_cell_angle_gamma 90.00
loop_
_atom_site_label
_atom_site_type_symbol
_atom_site_fract_x
_atom_site_fract_y
_atom_site_fract_z
Ni1 Ni 0.0000 0.0000 0.0000
As1 As 0.0000 0.0000 0.5000
C1 C 0.5000 0.5000 0.5000
```

two | NiAs3C | GGA-PBE | relaxed

Properties
- Fermi-level density of states (states/eV/cell) = 1.75

```
data_NiAs3C
_chemical_formula_sum 'Ni1 As3 C1'
_symmetry_space_group_name_H-M 'P m -3 m'
_symmetry_Int_Tables_number 221
_symmetry_space_group_name_Hall '-P 4 2 3'
_cell_length_a 4.2602
_cell_length_b 4.2602
_cell_length_c 4.2602
_cell_angle_alpha 90.00
_cell_angle_beta 90.00
_cell_angle_gamma 90.00
loop_
_atom_site_label
_atom_site_type_symbol
_atom_site_fract_x
_atom_site_fract_y
_atom_site_fract_z
Ni1 Ni 0.0000 0.0000 0.0000
As1 As 0.0000 0.5000 0.5000
C1 C 0.5000 0.5000 0.5000
```

two is favored, and the nearest alternative lies 489 meV per atom above it.

one | Ni2AsC | GGA-PBE | relaxed

Properties
- Fermi-level density of states (states/eV/cell) = 7.52

```
data_Ni2AsC
_chemical_formula_sum 'Ni8 As4 C4'
_symmetry_space_group_name_H-M 'I -4 2 d'
_symmetry_Int_Tables_number 122
_symmetry_space_group_name_Hall 'I -4 2bw'
_cell_length_a 4.4561
_cell_length_b 4.4561
_cell_length_c 10.7269
_cell_angle_alpha 90.00
_cell_angle_beta 90.00
_cell_angle_gamma 90.00
loop_
_atom_site_label
_atom_site_type_symbol
_atom_site_fract_x
_atom_site_fract_y
_atom_site_fract_z
Ni1 Ni 0.1463 0.2500 0.1250
As1 As 0.0000 0.0000 0.5000
C1 C 0.0000 0.0000 0.0000
```

two | Ni2AsC | GGA-PBE | relaxed

Properties
- Fermi-level density of states (states/eV/cell) = 14.85

```
data_Ni2AsC
_chemical_formula_sum 'Ni8 As4 C4'
_symmetry_space_group_name_H-M 'F m -3 m'
_symmetry_Int_Tables_number 225
_symmetry_space_group_name_Hall '-F 4 2 3'
_cell_length_a 5.6015
_cell_length_b 5.6015
_cell_length_c 5.6015
_cell_angle_alpha 90.00
_cell_angle_beta 90.00
_cell_angle_gamma 90.00
loop_
_atom_site_label
_atom_site_type_symbol
_atom_site_fract_x
_atom_site_fract_y
_atom_site_fract_z
Ni1 Ni 0.2500 0.2500 0.2500
As1 As 0.0000 0.0000 0.0000
C1 C 0.0000 0.0000 0.5000
```

one is favored, and the nearest alternative lies 527 meV per atom above it.

one | NiAsC3 | GGA-PBE | relaxed

Properties
- Fermi-level density of states (states/eV/cell) = 2.97

```
data_NiAsC3
_chemical_formula_sum 'Ni1 As1 C3'
_symmetry_space_group_name_H-M 'P m -3 m'
_symmetry_Int_Tables_number 221
_symmetry_space_group_name_Hall '-P 4 2 3'
_cell_length_a 3.8130
_cell_length_b 3.8130
_cell_length_c 3.8130
_cell_angle_alpha 90.00
_cell_angle_beta 90.00
_cell_angle_gamma 90.00
loop_
_atom_site_label
_atom_site_type_symbol
_atom_site_fract_x
_atom_site_fract_y
_atom_site_fract_z
Ni1 Ni 0.0000 0.0000 0.0000
As1 As 0.5000 0.5000 0.5000
C1 C 0.0000 0.0000 0.5000
```

two | NiAsC3 | GGA-PBE | relaxed

Properties
- Fermi-level density of states (states/eV/cell) = 3.80

```
data_NiAsC3
_chemical_formula_sum 'Ni1 As1 C3'
_symmetry_space_group_name_H-M 'P m -3 m'
_symmetry_Int_Tables_number 221
_symmetry_space_group_name_Hall '-P 4 2 3'
_cell_length_a 3.8624
_cell_length_b 3.8624
_cell_length_c 3.8624
_cell_angle_alpha 90.00
_cell_angle_beta 90.00
_cell_angle_gamma 90.00
loop_
_atom_site_label
_atom_site_type_symbol
_atom_site_fract_x
_atom_site_fract_y
_atom_site_fract_z
Ni1 Ni 0.0000 0.0000 0.0000
As1 As 0.5000 0.5000 0.5000
C1 C 0.0000 0.5000 0.5000
```

one is favored, and the nearest alternative lies 381 meV per atom above it.

one | NiAsPC | GGA-PBE | relaxed

Properties
- Fermi-level density of states (states/eV/cell) = 1.05

```
data_NiAsPC
_chemical_formula_sum 'Ni1 As1 P1 C1'
_symmetry_space_group_name_H-M 'P 1'
_symmetry_Int_Tables_number 1
_symmetry_space_group_name_Hall 'P 1'
_cell_length_a 3.0492
_cell_length_b 3.4664
_cell_length_c 6.2948
_cell_angle_alpha 76.86
_cell_angle_beta 89.91
_cell_angle_gamma 69.15
loop_
_atom_site_label
_atom_site_type_symbol
_atom_site_fract_x
_atom_site_fract_y
_atom_site_fract_z
Ni1 Ni 0.0000 0.0000 0.0000
As1 As 0.0620 0.8527 0.3789
P1 P 0.6309 0.6901 0.8473
C1 C 0.5788 0.8122 0.5599
```

two | NiAsPC | GGA-PBE | relaxed

Properties
- Fermi-level density of states (states/eV/cell) = 1.80

```
data_NiAsPC
_chemical_formula_sum 'Ni1 As1 P1 C1'
_symmetry_space_group_name_H-M 'P 1'
_symmetry_Int_Tables_number 1
_symmetry_space_group_name_Hall 'P 1'
_cell_length_a 2.9284
_cell_length_b 3.2917
_cell_length_c 5.6964
_cell_angle_alpha 75.10
_cell_angle_beta 88.57
_cell_angle_gamma 81.97
loop_
_atom_site_label
_atom_site_type_symbol
_atom_site_fract_x
_atom_site_fract_y
_atom_site_fract_z
Ni1 Ni 0.0000 0.0000 0.0000
As1 As 0.4527 0.3141 0.2580
P1 P 0.4887 0.6795 0.5984
C1 C 0.9911 0.6059 0.7784
```

one is favored, and the nearest alternative lies 110 meV per atom above it.

one | NiAsPC | GGA-PBE | relaxed

Properties
- Fermi-level density of states (states/eV/cell) = 3.05

```
data_NiAsPC
_chemical_formula_sum 'Ni2 As2 P2 C2'
_symmetry_space_group_name_H-M 'C 1 m 1'
_symmetry_Int_Tables_number 8
_symmetry_space_group_name_Hall 'C -2y'
_cell_length_a 11.3506
_cell_length_b 2.8749
_cell_length_c 3.7189
_cell_angle_alpha 90.00
_cell_angle_beta 102.61
_cell_angle_gamma 90.00
loop_
_atom_site_label
_atom_site_type_symbol
_atom_site_fract_x
_atom_site_fract_y
_atom_site_fract_z
Ni1 Ni 0.0000 0.0000 0.0000
As1 As 0.1351 0.0000 0.5779
P1 P 0.3658 0.0000 0.6065
C1 C 0.4199 0.5000 0.4171
```

two | NiAsPC | GGA-PBE | relaxed

Properties
- Fermi-level density of states (states/eV/cell) = 4.59

```
data_NiAsPC
_chemical_formula_sum 'Ni2 As2 P2 C2'
_symmetry_space_group_name_H-M 'C 1 m 1'
_symmetry_Int_Tables_number 8
_symmetry_space_group_name_Hall 'C -2y'
_cell_length_a 7.2028
_cell_length_b 2.9247
_cell_length_c 5.4656
_cell_angle_alpha 90.00
_cell_angle_beta 104.69
_cell_angle_gamma 90.00
loop_
_atom_site_label
_atom_site_type_symbol
_atom_site_fract_x
_atom_site_fract_y
_atom_site_fract_z
Ni1 Ni 0.0000 0.0000 0.0000
As1 As 0.2507 0.5000 0.2289
P1 P 0.2397 0.5000 0.6687
C1 C 0.1230 0.0000 0.7269
```

three | NiAsPC | GGA-PBE | relaxed

Properties
- Fermi-level density of states (states/eV/cell) = 3.30

```
data_NiAsPC
_chemical_formula_sum 'Ni2 As2 P2 C2'
_symmetry_space_group_name_H-M 'C 1 m 1'
_symmetry_Int_Tables_number 8
_symmetry_space_group_name_Hall 'C -2y'
_cell_length_a 7.6162
_cell_length_b 2.8518
_cell_length_c 5.8952
_cell_angle_alpha 90.00
_cell_angle_beta 118.68
_cell_angle_gamma 90.00
loop_
_atom_site_label
_atom_site_type_symbol
_atom_site_fract_x
_atom_site_fract_y
_atom_site_fract_z
Ni1 Ni 0.0000 0.0000 0.0000
As1 As 0.2527 0.0000 0.6628
P1 P 0.2921 0.5000 0.1784
C1 C 0.2736 0.0000 0.3433
```

four | NiAsPC | GGA-PBE | relaxed

Properties
- Fermi-level density of states (states/eV/cell) = 1.38

```
data_NiAsPC
_chemical_formula_sum 'Ni1 As1 P1 C1'
_symmetry_space_group_name_H-M 'P 1'
_symmetry_Int_Tables_number 1
_symmetry_space_group_name_Hall 'P 1'
_cell_length_a 3.3074
_cell_length_b 3.7650
_cell_length_c 4.7987
_cell_angle_alpha 97.82
_cell_angle_beta 96.32
_cell_angle_gamma 109.23
loop_
_atom_site_label
_atom_site_type_symbol
_atom_site_fract_x
_atom_site_fract_y
_atom_site_fract_z
Ni1 Ni 0.0000 0.0000 0.0000
As1 As 0.8135 0.3928 0.6420
P1 P 0.3876 0.6593 0.1187
C1 C 0.2525 0.3888 0.3813
```

three is favored, and the nearest alternative lies 91 meV per atom above it.

one | NiAsPC | GGA-PBE | relaxed

Properties
- Fermi-level density of states (states/eV/cell) = 0.45

```
data_NiAsPC
_chemical_formula_sum 'Ni1 As1 P1 C1'
_symmetry_space_group_name_H-M 'P 1'
_symmetry_Int_Tables_number 1
_symmetry_space_group_name_Hall 'P 1'
_cell_length_a 2.8328
_cell_length_b 3.7463
_cell_length_c 6.1698
_cell_angle_alpha 93.07
_cell_angle_beta 102.94
_cell_angle_gamma 90.01
loop_
_atom_site_label
_atom_site_type_symbol
_atom_site_fract_x
_atom_site_fract_y
_atom_site_fract_z
Ni1 Ni 0.0000 0.0000 0.0000
As1 As 0.1182 0.5251 0.2413
P1 P 0.3731 0.2987 0.7398
C1 C 0.9414 0.5001 0.8797
```

two | NiAsPC | GGA-PBE | relaxed

Properties
- Fermi-level density of states (states/eV/cell) = 3.07

```
data_NiAsPC
_chemical_formula_sum 'Ni3 As3 P3 C3'
_symmetry_space_group_name_H-M 'R 3 m'
_symmetry_Int_Tables_number 160
_symmetry_space_group_name_Hall 'R 3 -2"'
_cell_length_a 3.2362
_cell_length_b 3.2362
_cell_length_c 18.2522
_cell_angle_alpha 90.00
_cell_angle_beta 90.00
_cell_angle_gamma 120.00
loop_
_atom_site_label
_atom_site_type_symbol
_atom_site_fract_x
_atom_site_fract_y
_atom_site_fract_z
Ni1 Ni 0.0000 0.0000 0.0000
As1 As 0.0000 0.0000 0.8717
P1 P 0.0000 0.0000 0.3891
C1 C 0.0000 0.0000 0.4885
```

two is favored, and the nearest alternative lies 81 meV per atom above it.